(1)
The following is a DFT calculation (PBE) of crystalline MgUSb2 at its relaxed geometry.

Values from the calculation:
Uncorrected formation energy   -0.7 eV per formula unit
Magnetization   2.53 μB/f.u.
D(E_F)   5.88 states/eV/f.u.
Density   8.4 g/cm³
Energy above the most stable polymorph in this dataset   0.102 eV/atom

```
MgUSb2
1.0
3.916 0.000 0.000
0.000 3.916 0.000
0.000 0.000 6.559
Mg U Sb
1 1 2
direct
0.000 0.000 0.000
0.000 0.000 0.500
0.500 0.500 0.253
0.500 0.500 0.747
```

***

(2)
The following is a DFT calculation (PBE) of crystalline PmY3Pb2 at its relaxed geometry.

Values from the calculation:
Magnetization   0.00 μB/f.u.
Energy of formation   -0.447 eV/atom
D(E_F)   5.06 states/eV/f.u.
Density   7.5 g/cm³
Energy above the most stable polymorph in this dataset   0.000 eV/atom

```
PmY3Pb2
1.0
4.590 0.000 0.000
0.000 4.590 0.000
0.000 0.000 8.648
Pm Y Pb
1 3 2
direct
0.000 0.000 0.000
0.000 0.500 0.345
0.500 0.000 0.655
0.500 0.500 0.000
0.000 0.500 0.713
0.500 0.000 0.287
```

***

(3)
The following is a DFT calculation (PBE) of crystalline Cs2Ge2Pd3 at its relaxed geometry.

Values from the calculation:
Magnetization   0.00 μB/f.u.
Energy of formation   -0.306 eV/atom
D(E_F)   1.27 states/eV/f.u.
Density   6.1 g/cm³

```
Cs2Ge2Pd3
1.0
13.233 0.000 0.000
0.000 4.284 0.000
-6.030 0.000 7.038
Cs Ge Pd
4 4 6
direct
0.177 0.000 0.097
0.323 0.500 0.903
0.677 0.500 0.097
0.823 0.000 0.903
0.091 0.000 0.450
0.409 0.500 0.550
0.591 0.500 0.450
0.909 0.000 0.550
0.000 0.500 0.500
0.163 0.500 0.409
0.337 0.000 0.591
0.500 0.000 0.500
0.663 0.000 0.409
0.837 0.500 0.591
```

***

(4)
The following is a DFT calculation (PBE) of crystalline ScSi2Tc at its relaxed geometry.

Values from the calculation:
Uncorrected formation energy   0.0 eV per formula unit
Magnetization   0.00 μB/f.u.
D(E_F)   1.88 states/eV/f.u.
Density   4.3 g/cm³
Energy above the most stable polymorph in this dataset   0.717 eV/atom

```
ScSi2Tc
1.0
4.338 0.000 0.000
0.000 4.338 0.000
0.000 0.000 16.449
Sc Si Tc
4 8 4
direct
0.000 0.000 0.000
0.000 0.500 0.250
0.500 0.000 0.750
0.500 0.500 0.500
0.114 0.250 0.625
0.250 0.614 0.875
0.250 0.886 0.375
0.386 0.250 0.125
0.614 0.750 0.125
0.750 0.114 0.375
0.750 0.386 0.875
0.886 0.750 0.625
0.000 0.000 0.500
0.000 0.500 0.750
0.500 0.000 0.250
0.500 0.500 0.000
```

***

(5)
The following is a DFT calculation (PBE) of crystalline LaSmEu2 at its relaxed geometry.

Values from the calculation:
Magnetization   15.04 μB/f.u.
Energy of formation   0.100 eV/atom
D(E_F)   5.85 states/eV/f.u.
Density   6.5 g/cm³
Energy above the most stable polymorph in this dataset   0.026 eV/atom

```
LaSmEu2
1.0
5.292 0.000 0.000
0.000 5.292 0.000
0.000 0.000 5.398
La Sm Eu
1 1 2
direct
0.000 0.000 0.000
0.500 0.500 0.000
0.000 0.500 0.500
0.500 0.000 0.500
```

***

(6)
The following is a DFT calculation (PBE) of crystalline EuPuSn4 at its relaxed geometry.

Values from the calculation:
Magnetization   1.14 μB/f.u.
Energy of formation   -0.300 eV/atom
D(E_F)   27.63 states/eV/f.u.
Density   8.6 g/cm³

```
EuPuSn4
1.0
0.000 4.388 4.388
4.388 0.000 4.388
4.388 4.388 0.000
Eu Pu Sn
1 1 4
direct
0.000 0.000 0.000
0.250 0.250 0.250
0.126 0.625 0.625
0.625 0.126 0.625
0.625 0.625 0.126
0.625 0.625 0.625
```